A plane-wave DFT calculation with PBE-GGA was carried out for crystalline CaMn2Ag at its relaxed geometry.

Results
- DOS at the Fermi energy: 3.9 states/eV/cell
- V: 78.8 Å³/cell
- Total energy: -20.9 eV/cell
- Total magnetic moment: 0.96 μB/f.u.
- Formation energy from the elements: 0.5633 eV per atom

Geometry as extended XYZ:
```
4
Lattice="5.070 -0.002 0.003 3.973 3.150 0.003 1.501 0.522 4.931" Properties=species:S:1:pos:R:3 pbc="T T T"
Mn 5.195 1.808 1.769
Mn 9.119 3.174 0.705
Ag 2.636 0.917 1.234
Ca 7.908 2.752 3.702
```

***

A plane-wave DFT calculation with PBE-GGA was carried out for crystalline PmUAs at its relaxed geometry.

Results
- DOS at the Fermi energy: 6.2 states/eV/cell
- V: 78.4 Å³/cell
- Total energy: -21.5 eV/cell
- Total magnetic moment: 3.37 μB/f.u.
- Formation energy from the elements: -0.2570 eV per atom

Geometry as extended XYZ:
```
3
Lattice="-0.302 -0.186 3.621 -2.664 -2.454 -0.348 5.489 -3.045 -1.527" Properties=species:S:1:pos:R:3 pbc="T T T"
As -0.493 -2.398 1.664
U 2.009 -2.188 0.055
Pm 2.329 -5.472 1.741
```

***

A plane-wave DFT calculation with PBE-GGA was carried out for crystalline CsRbOsF6 at its relaxed geometry.

Results
- DOS at the Fermi energy: 7.4 states/eV/cell
- V: 216.1 Å³/cell
- Total energy: -44.5 eV/cell
- Total magnetic moment: 2.00 μB/f.u.
- E_form (uncorrected): -2.247 eV/atom

Geometry as extended XYZ:
```
9
Lattice="-3.837 1.237 4.090 4.238 -2.073 4.603 0.018 6.314 -1.893" Properties=species:S:1:pos:R:3 pbc="T T T"
Rb 0.913 1.341 4.483
F 0.527 4.066 4.890
F -1.618 6.657 2.094
F -2.665 2.421 2.394
F -0.115 1.427 1.898
F 2.048 5.116 2.811
F -1.139 5.134 -0.184
Os -1.918 0.619 2.045
Cs 1.425 3.518 0.272
```

***

A plane-wave DFT calculation with PBE-GGA was carried out for crystalline Sr2HgPt at its relaxed geometry.

Results
- DOS at the Fermi energy: 2.4 states/eV/cell
- V: 122.0 Å³/cell
- Total energy: -11.8 eV/cell
- Total magnetic moment: 0.00 μB/f.u.
- Formation energy from the elements: -0.5249 eV per atom

Geometry as extended XYZ:
```
4
Lattice="-0.948 0.843 -7.061 -5.915 -1.185 -3.883 3.148 3.274 5.553" Properties=species:S:1:pos:R:3 pbc="T T T"
Sr -0.347 -0.017 -0.553
Sr -0.705 1.969 -3.631
Hg -2.985 -0.149 -4.760
Pt -3.110 0.959 -1.919
```

***

A plane-wave DFT calculation with PBE-GGA was carried out for crystalline TmZrTc2 at its relaxed geometry.

Results
- DOS at the Fermi energy: 5.9 states/eV/cell
- V: 74.7 Å³/cell
- Total energy: -34.3 eV/cell
- Total magnetic moment: 0.00 μB/f.u.
- Formation energy from the elements: -0.1254 eV per atom

Geometry as extended XYZ:
```
4
Lattice="-1.118 3.089 0.548 -1.693 -1.083 2.656 5.340 1.240 3.909" Properties=species:S:1:pos:R:3 pbc="T T T"
Tc 1.253 0.291 0.917
Tc 4.088 0.949 2.992
Tm 1.265 1.623 3.556
Zr -1.405 1.003 1.602
```

***

A plane-wave DFT calculation with PBE-GGA was carried out for crystalline Y2TlPd at its relaxed geometry.

Results
- DOS at the Fermi energy: 3.2 states/eV/cell
- V: 111.9 Å³/cell
- Total energy: -22.4 eV/cell
- Total magnetic moment: 0.00 μB/f.u.
- Formation energy from the elements: -0.4791 eV per atom

Geometry as extended XYZ:
```
4
Lattice="-1.139 -3.039 -2.310 2.580 -1.634 -2.558 2.850 -6.812 4.122" Properties=species:S:1:pos:R:3 pbc="T T T"
Y 2.364 -5.733 2.942
Y 0.961 -2.624 -0.457
Pd 0.968 -3.131 -3.229
Tl 2.144 -5.739 -0.376
```